# 1
First-principles (PBE) data for a relaxed structure of Ho3Mg2Sc4, as listed in Alexandria.

abc: 4.6202 7.6540 7.4335
angles: 107.25 108.11 90.00
Sites, in units of the cell vectors:
Ho: 0.8883 0.3399 0.7766
Ho: 0.0000 0.0000 0.0000
Ho: 0.1117 0.6601 0.2234
Sc: 0.5597 0.3373 0.1194
Sc: 0.7795 0.6619 0.5590
Sc: 0.4403 0.6627 0.8806
Sc: 0.2205 0.3381 0.4410
Mg: 0.3292 0.9987 0.6583
Mg: 0.6708 0.0013 0.3417

Calculated formation energy, eV per atom: 0.023
SG: C2/m, No. 12
DOS(E_F), states/eV/cell: 13.523
Magnetization, Bohr magnetons per cell: 0.00



# 2
First-principles (PBE) data for a relaxed structure of Ho3MgSc, as listed in Alexandria.

abc: 10.5972 6.4646 8.8325
angles: 71.55 101.23 95.59
Sites, in units of the cell vectors:
Mg: 0.2806 0.4858 0.5509
Mg: 0.7194 0.5142 0.4491
Mg: 0.1865 0.7829 0.1532
Mg: 0.8135 0.2171 0.8468
Sc: 0.7828 0.9953 0.5475
Sc: 0.2172 0.0047 0.4525
Sc: 0.6857 0.2892 0.1501
Sc: 0.3143 0.7108 0.8499
Ho: 0.0834 0.0761 0.7493
Ho: 0.3838 0.1800 0.9529
Ho: 0.4142 0.4107 0.2546
Ho: 0.1174 0.3126 0.0546
Ho: 0.0110 0.6159 0.6484
Ho: 0.5091 0.1155 0.6481
Ho: 0.4909 0.8845 0.3519
Ho: 0.8826 0.6874 0.9454
Ho: 0.9890 0.3841 0.3516
Ho: 0.9166 0.9239 0.2507
Ho: 0.5858 0.5893 0.7454
Ho: 0.6162 0.8200 0.0471

Relative energy among the computed polymorphs, meV per atom: 0.0
Calculated formation energy, eV per atom: 0.013
SG: P-1, No. 2
DOS(E_F), states/eV/cell: 27.679
Magnetization, Bohr magnetons per cell: 0.00